1.
DFT (PBE) results for crystalline AsSe2 at its relaxed geometry.

CIF file:
```
data_AsSe2
_chemical_formula_sum 'As2 Se4'
_cell_length_a 11.302
_cell_length_b 11.302
_cell_length_c 3.520
_cell_angle_alpha 90.00
_cell_angle_beta 90.00
_cell_angle_gamma 158.72
_symmetry_space_group_name_H-M 'P 1'
_symmetry_Int_Tables_number 1
loop_
_symmetry_equiv_pos_as_xyz
'x,y,z'
loop_
_atom_site_label
_atom_site_type_symbol
_atom_site_fract_x
_atom_site_fract_y
_atom_site_fract_z
_atom_site_occupancy
As1 As 0.112 0.888 0.750 1
As2 As 0.888 0.112 0.250 1
Se1 Se 0.187 0.813 0.250 1
Se2 Se 0.460 0.540 0.750 1
Se3 Se 0.540 0.460 0.250 1
Se4 Se 0.813 0.187 0.750 1
```

Results
The value obtained for the magnetization is 0.00 μB per cell. For the density, the calculation gives 4.7 Mg/m³. Its space group is No. 63. The formation energy from raw total energies is 0.0784 eV per atom.

2.
DFT (PBE) results for crystalline TaHgN at its relaxed geometry.

CIF file:
```
data_TaHgN
_chemical_formula_sum 'Ta2 Hg2 N2'
_cell_length_a 3.048
_cell_length_b 3.048
_cell_length_c 10.728
_cell_angle_alpha 90.00
_cell_angle_beta 90.00
_cell_angle_gamma 90.00
_symmetry_space_group_name_H-M 'P 1'
_symmetry_Int_Tables_number 1
loop_
_symmetry_equiv_pos_as_xyz
'x,y,z'
loop_
_atom_site_label
_atom_site_type_symbol
_atom_site_fract_x
_atom_site_fract_y
_atom_site_fract_z
_atom_site_occupancy
Ta1 Ta 0.250 0.250 0.096 1
Ta2 Ta 0.750 0.750 0.904 1
Hg1 Hg 0.250 0.250 0.378 1
Hg2 Hg 0.750 0.750 0.622 1
N1 N 0.250 0.250 0.889 1
N2 N 0.750 0.750 0.111 1
```

Results
The value obtained for the magnetization is 0.00 μB per cell. For the density, the calculation gives 13.2 Mg/m³. Its space group is No. 129. The formation energy from raw total energies is -0.5487 eV per atom.

3.
DFT (PBE) results for crystalline Li2ReW at its relaxed geometry.

CIF file:
```
data_Li2ReW
_chemical_formula_sum 'Li2 Re1 W1'
_cell_length_a 3.158
_cell_length_b 3.158
_cell_length_c 6.306
_cell_angle_alpha 90.00
_cell_angle_beta 90.00
_cell_angle_gamma 90.00
_symmetry_space_group_name_H-M 'P 1'
_symmetry_Int_Tables_number 1
loop_
_symmetry_equiv_pos_as_xyz
'x,y,z'
loop_
_atom_site_label
_atom_site_type_symbol
_atom_site_fract_x
_atom_site_fract_y
_atom_site_fract_z
_atom_site_occupancy
Li1 Li 0.000 0.000 0.000 1
Li2 Li 0.500 0.500 0.243 1
Re1 Re 0.000 0.000 0.514 1
W1 W 0.500 0.500 0.714 1
```

Results
As for the formation energy from the elements: 0.388 eV per atom. The value obtained for the magnetization is 0.00 μB per cell. The value obtained for the relative energy among the computed polymorphs is 15.1 kJ per mole of atoms. For the density, the calculation gives 10.1 Mg/m³. Its space group is No. 99.

4.
DFT (PBE) results for crystalline Li4CaMg at its relaxed geometry.

CIF file:
```
data_Li4CaMg
_chemical_formula_sum 'Li4 Ca1 Mg1'
_cell_length_a 5.824
_cell_length_b 5.824
_cell_length_c 5.824
_cell_angle_alpha 60.00
_cell_angle_beta 60.00
_cell_angle_gamma 60.00
_symmetry_space_group_name_H-M 'P 1'
_symmetry_Int_Tables_number 1
loop_
_symmetry_equiv_pos_as_xyz
'x,y,z'
loop_
_atom_site_label
_atom_site_type_symbol
_atom_site_fract_x
_atom_site_fract_y
_atom_site_fract_z
_atom_site_occupancy
Li1 Li 0.377 0.377 0.377 1
Li2 Li 0.377 0.377 0.870 1
Li3 Li 0.377 0.870 0.377 1
Li4 Li 0.870 0.377 0.377 1
Ca1 Ca 0.000 0.000 0.000 1
Mg1 Mg 0.750 0.750 0.750 1
```

Results
As for the formation energy from the elements: -0.020 eV per atom. The value obtained for the magnetization is 0.00 μB per cell. The value obtained for the relative energy among the computed polymorphs is 0.0 kJ per mole of atoms. For the density, the calculation gives 1.1 Mg/m³. Its space group is No. 216.

5.
DFT (PBE) results for crystalline Tl2F3 at its relaxed geometry.

CIF file:
```
data_Tl2F3
_chemical_formula_sum 'Tl4 F6'
_cell_length_a 5.968
_cell_length_b 5.968
_cell_length_c 5.968
_cell_angle_alpha 70.69
_cell_angle_beta 70.69
_cell_angle_gamma 70.69
_symmetry_space_group_name_H-M 'P 1'
_symmetry_Int_Tables_number 1
loop_
_symmetry_equiv_pos_as_xyz
'x,y,z'
loop_
_atom_site_label
_atom_site_type_symbol
_atom_site_fract_x
_atom_site_fract_y
_atom_site_fract_z
_atom_site_occupancy
Tl1 Tl 0.116 0.116 0.116 1
Tl2 Tl 0.384 0.384 0.384 1
Tl3 Tl 0.616 0.616 0.616 1
Tl4 Tl 0.884 0.884 0.884 1
F1 F 0.003 0.250 0.497 1
F2 F 0.250 0.497 0.003 1
F3 F 0.497 0.003 0.250 1
F4 F 0.503 0.997 0.750 1
F5 F 0.750 0.503 0.997 1
F6 F 0.997 0.750 0.503 1
```

Results
The value obtained for the magnetization is 0.00 μB per cell. For the density, the calculation gives 8.4 Mg/m³. Its space group is No. 167. The formation energy from raw total energies is -1.7013 eV per atom.

6.
DFT (PBE) results for crystalline Er2Tm5In at its relaxed geometry.

CIF file:
```
data_Er2Tm5In
_chemical_formula_sum 'Er4 Tm10 In2'
_cell_length_a 6.453
_cell_length_b 6.453
_cell_length_c 15.274
_cell_angle_alpha 90.00
_cell_angle_beta 90.00
_cell_angle_gamma 131.22
_symmetry_space_group_name_H-M 'P 1'
_symmetry_Int_Tables_number 1
loop_
_symmetry_equiv_pos_as_xyz
'x,y,z'
loop_
_atom_site_label
_atom_site_type_symbol
_atom_site_fract_x
_atom_site_fract_y
_atom_site_fract_z
_atom_site_occupancy
Er1 Er 0.221 0.779 0.634 1
Er2 Er 0.221 0.779 0.866 1
Er3 Er 0.779 0.221 0.134 1
Er4 Er 0.779 0.221 0.366 1
Tm1 Tm 0.085 0.915 0.088 1
Tm2 Tm 0.085 0.915 0.412 1
Tm3 Tm 0.389 0.611 0.053 1
Tm4 Tm 0.389 0.611 0.447 1
Tm5 Tm 0.474 0.526 0.750 1
Tm6 Tm 0.526 0.474 0.250 1
Tm7 Tm 0.611 0.389 0.553 1
Tm8 Tm 0.611 0.389 0.947 1
Tm9 Tm 0.915 0.085 0.588 1
Tm10 Tm 0.915 0.085 0.912 1
In1 In 0.249 0.751 0.250 1
In2 In 0.751 0.249 0.750 1
```

Results
As for the formation energy from the elements: -0.032 eV per atom. The value obtained for the magnetization is 0.09 μB per cell. The value obtained for the relative energy among the computed polymorphs is 0.0 kJ per mole of atoms. For the density, the calculation gives 9.0 Mg/m³. Its space group is No. 63.